[1]
Below is an optimized crystal structure of Cu3MoAs, with properties calculated at the PBE level.

Computed properties:
**E_tot**: -0.2924 Ry per atom
**Formation enthalpy at 0 K**: 1.58 eV per atom
**Space group**: Pm-3m (221)
**Crystal system**: cubic
**Polymorph energy (0 for the lowest one)**: 0.522 eV/atom

Unit cell a=4.6576 b=4.6576 c=4.6576 alpha=90.00 beta=90.00 gamma=90.00
With the nearest neighbours (Å) after each atom.
Atoms (fractional coordinates):
Cu  0.0000  0.0000  0.5000  2 Mo 2.33
Cu  0.0000  0.5000  0.0000  2 Mo 2.33
Cu  0.5000  0.0000  0.0000  2 Mo 2.33
Mo  0.0000  0.0000  0.0000  6 Cu 2.33
As  0.5000  0.5000  0.5000  12 Cu 3.29

***

[2]
Below is an optimized crystal structure of CuMo3As, with properties calculated at the PBE level.

Computed properties:
**E_tot**: -0.4889 Ry per atom
**Formation enthalpy at 0 K**: 1.60 eV per atom
**Space group**: Pm-3m (221)
**Crystal system**: cubic
**Polymorph energy (0 for the lowest one)**: 0.215 eV/atom

Unit cell a=4.5288 b=4.5288 c=4.5288 alpha=90.00 beta=90.00 gamma=90.00
With the nearest neighbours (Å) after each atom.
Atoms (fractional coordinates):
Cu  0.0000  0.0000  0.0000  6 Mo 2.26
Mo  0.0000  0.0000  0.5000  2 Cu 2.26
Mo  0.0000  0.5000  0.0000  2 Cu 2.26
Mo  0.5000  0.0000  0.0000  2 Cu 2.26
As  0.5000  0.5000  0.5000  12 Mo 3.20

***

[3]
Below is an optimized crystal structure of Cu2MoAs, with properties calculated at the PBE level.

Computed properties:
**E_tot**: -0.4206 Ry per atom
**Formation enthalpy at 0 K**: 0.20 eV per atom
**Space group**: C2/m (12)
**Crystal system**: monoclinic

Unit cell a=5.0357 b=8.7276 c=2.6870 alpha=90.00 beta=103.06 gamma=90.00
With the nearest neighbours (Å) after each atom.
Atoms (fractional coordinates):
Cu  0.2500  0.2500  0.0000  4 Cu 2.52-2.69, 2 As 2.72, 2 Mo 2.72
Cu  0.2500  0.7500  0.0000  4 Cu 2.52-2.69, 2 As 2.72, 2 Mo 2.72
Cu  0.7500  0.2500  0.0000  4 Cu 2.52-2.69, 2 Mo 2.72, 2 As 2.72
Cu  0.7500  0.7500  0.0000  4 Cu 2.52-2.69, 2 As 2.72, 2 Mo 2.72
Mo  0.0000  0.0000  0.5000  2 As 2.52, 2 Mo 2.69, 4 Cu 2.72
Mo  0.5000  0.5000  0.5000  2 As 2.52, 2 Mo 2.69, 4 Cu 2.72
As  0.0000  0.5000  0.5000  2 Mo 2.52, 2 As 2.69, 4 Cu 2.72
As  0.5000  0.0000  0.5000  2 Mo 2.52, 2 As 2.69, 4 Cu 2.72

***

[4]
Below is an optimized crystal structure of CuMo2As, with properties calculated at the PBE level.

Computed properties:
**E_tot**: -0.5519 Ry per atom
**Formation enthalpy at 0 K**: 0.09 eV per atom
**Space group**: P4mm (99)
**Crystal system**: tetragonal

Unit cell a=3.2982 b=3.2982 c=5.5123 alpha=90.00 beta=90.00 gamma=90.00
With the nearest neighbours (Å) after each atom.
Atoms (fractional coordinates):
Cu  0.0000  0.0000  0.0000  4 As 2.67, 6 Mo 2.70-2.80
Mo  0.0000  0.0000  0.4919  4 Mo 2.70, 2 Cu 2.71-2.80, 4 As 2.77
Mo  0.5000  0.5000  0.2462  2 As 2.67-2.85, 4 Mo 2.70, 4 Cu 2.70
As  0.5000  0.5000  0.7624  6 Mo 2.67-2.85, 4 Cu 2.67

***

[5]
Below is an optimized crystal structure of Cu2MoAs, with properties calculated at the PBE level.

Computed properties:
**E_tot**: -0.4165 Ry per atom
**Formation enthalpy at 0 K**: 0.25 eV per atom
**Space group**: F-43m (216)
**Crystal system**: cubic

Unit cell a=6.0707 b=6.0707 c=6.0707 alpha=90.00 beta=90.00 gamma=90.00
With the nearest neighbours (Å) after each atom.
Atoms (fractional coordinates):
Cu  0.0000  0.0000  0.0000  4 Mo 2.63, 4 Cu 2.63
Cu  0.0000  0.5000  0.5000  4 Cu 2.63, 4 Mo 2.63
Cu  0.2500  0.2500  0.2500  4 As 2.63, 4 Cu 2.63
Cu  0.2500  0.7500  0.7500  4 As 2.63, 4 Cu 2.63
Cu  0.5000  0.0000  0.5000  4 Cu 2.63, 4 Mo 2.63
Cu  0.5000  0.5000  0.0000  4 Cu 2.63, 4 Mo 2.63
Cu  0.7500  0.2500  0.7500  4 As 2.63, 4 Cu 2.63
Cu  0.7500  0.7500  0.2500  4 As 2.63, 4 Cu 2.63
Mo  0.2500  0.2500  0.7500  4 As 2.63, 4 Cu 2.63
Mo  0.2500  0.7500  0.2500  4 As 2.63, 4 Cu 2.63
Mo  0.7500  0.2500  0.2500  4 As 2.63, 4 Cu 2.63
Mo  0.7500  0.7500  0.7500  4 As 2.63, 4 Cu 2.63
As  0.0000  0.0000  0.5000  4 Mo 2.63, 4 Cu 2.63
As  0.0000  0.5000  0.0000  4 Mo 2.63, 4 Cu 2.63
As  0.5000  0.0000  0.0000  4 Mo 2.63, 4 Cu 2.63
As  0.5000  0.5000  0.5000  4 Mo 2.63, 4 Cu 2.63

***

[6]
Below is an optimized crystal structure of CuMo2As, with properties calculated at the PBE level.

Computed properties:
**E_tot**: -0.5379 Ry per atom
**Formation enthalpy at 0 K**: 0.28 eV per atom
**Space group**: Pmmm (47)
**Crystal system**: orthorhombic

Unit cell a=3.2698 b=4.2063 c=4.3624 alpha=90.00 beta=90.00 gamma=90.00
With the nearest neighbours (Å) after each atom.
Atoms (fractional coordinates):
Cu  0.0000  0.0000  0.0000  4 Mo 2.66, 4 As 2.73
Mo  0.0000  0.5000  0.5000  4 As 2.66, 4 Mo 2.73
Mo  0.5000  0.5000  0.0000  4 Cu 2.66, 4 Mo 2.73
As  0.5000  0.0000  0.5000  4 Mo 2.66, 4 Cu 2.73

***

Question: Which of these has the lowest E_tot?
Answer: number 4

***

Question: What is the formula in the sixth record?
Answer: CuMo2As